Record 1
First-principles (PBE) data for a geometry-optimized LiPaTlCu structure, as listed in the Alexandria database.

```
data_LiPaTlCu
_cell_length_a 6.7867
_cell_length_b 6.7867
_cell_length_c 6.7867
_cell_angle_alpha 90.00
_cell_angle_beta 90.00
_cell_angle_gamma 90.00
_space_group_name_H-M_alt 'F -4 3 m'
_space_group_IT_number 216
_space_group_name_Hall 'F -4 2 3'
loop_
_atom_site_label
_atom_site_fract_x
_atom_site_fract_y
_atom_site_fract_z
_atom_site_occupancy
Li1 0.0000 0.0000 0.0000 1
Pa1 0.2500 0.2500 0.2500 1
Tl1 0.2500 0.2500 0.7500 1
Cu1 0.0000 0.0000 0.5000 1
```

Record 2
First-principles (PBE) data for a geometry-optimized LiPaZnCu structure, as listed in the Alexandria database.

```
data_LiPaZnCu
_cell_length_a 6.5168
_cell_length_b 6.5168
_cell_length_c 6.5168
_cell_angle_alpha 90.00
_cell_angle_beta 90.00
_cell_angle_gamma 90.00
_space_group_name_H-M_alt 'F -4 3 m'
_space_group_IT_number 216
_space_group_name_Hall 'F -4 2 3'
loop_
_atom_site_label
_atom_site_fract_x
_atom_site_fract_y
_atom_site_fract_z
_atom_site_occupancy
Li1 0.0000 0.0000 0.0000 1
Pa1 0.2500 0.2500 0.7500 1
Zn1 0.2500 0.2500 0.2500 1
Cu1 0.0000 0.0000 0.5000 1
```

Record 3
First-principles (PBE) data for a geometry-optimized LiCuPb2 structure, as listed in the Alexandria database.

```
data_LiCuPb2
_cell_length_a 3.6067
_cell_length_b 4.4844
_cell_length_c 5.6577
_cell_angle_alpha 90.00
_cell_angle_beta 108.57
_cell_angle_gamma 90.00
_space_group_name_H-M_alt 'P 1 m 1'
_space_group_IT_number 6
_space_group_name_Hall 'P -2y'
loop_
_atom_site_label
_atom_site_fract_x
_atom_site_fract_y
_atom_site_fract_z
_atom_site_occupancy
Li1 0.0000 0.0000 0.0000 1
Cu1 0.8559 0.5000 0.7079 1
Pb1 0.2796 0.0000 0.5577 1
Pb2 0.5695 0.5000 0.1399 1
```

Record 4
First-principles (PBE) data for a geometry-optimized LiCuPb2 structure, as listed in the Alexandria database.

```
data_LiCuPb2
_cell_length_a 11.0961
_cell_length_b 3.4191
_cell_length_c 4.8554
_cell_angle_alpha 90.00
_cell_angle_beta 106.68
_cell_angle_gamma 90.00
_space_group_name_H-M_alt 'C 1 m 1'
_space_group_IT_number 8
_space_group_name_Hall 'C -2y'
loop_
_atom_site_label
_atom_site_fract_x
_atom_site_fract_y
_atom_site_fract_z
_atom_site_occupancy
Li1 0.0000 0.0000 0.0000 1
Cu1 0.2946 0.0000 0.7101 1
Pb1 0.0434 0.5000 0.5393 1
Pb2 0.2685 0.5000 0.1922 1
```

Record 5
First-principles (PBE) data for a geometry-optimized LiCuPb2 structure, as listed in the Alexandria database.

```
data_LiCuPb2
_cell_length_a 3.3802
_cell_length_b 3.3802
_cell_length_c 7.7180
_cell_angle_alpha 90.00
_cell_angle_beta 90.00
_cell_angle_gamma 90.00
_space_group_name_H-M_alt 'P 4 m m'
_space_group_IT_number 99
_space_group_name_Hall 'P 4 -2'
loop_
_atom_site_label
_atom_site_fract_x
_atom_site_fract_y
_atom_site_fract_z
_atom_site_occupancy
Li1 0.0000 0.0000 0.0000 1
Cu1 0.5000 0.5000 0.8427 1
Pb1 0.0000 0.0000 0.6071 1
Pb2 0.5000 0.5000 0.2470 1
```

Record 6
First-principles (PBE) data for a geometry-optimized Li6CuPb structure, as listed in the Alexandria database.

```
data_Li6CuPb
_cell_length_a 4.7929
_cell_length_b 5.8466
_cell_length_c 10.1000
_cell_angle_alpha 90.00
_cell_angle_beta 90.00
_cell_angle_gamma 90.00
_space_group_name_H-M_alt 'A m m 2'
_space_group_IT_number 38
_space_group_name_Hall 'A 2 -2'
loop_
_atom_site_label
_atom_site_fract_x
_atom_site_fract_y
_atom_site_fract_z
_atom_site_occupancy
Li1 0.0000 0.0000 0.0000 1
Li2 0.0000 0.2411 0.2414 1
Li3 0.5000 0.0000 0.6568 1
Li4 0.5000 0.2423 0.4150 1
Cu1 0.5000 0.0000 0.1621 1
Pb1 0.0000 0.0000 0.4945 1
```

Table of energy relative to the elements (eV per atom), in record order: 0.18 0.16 0.00 0.03 0.03 -0.13